# Ca2TiSi3Pt4

Ca2TiSi3Pt4 after structural relaxation (GGA-PBE, the Alexandria database).

Calculated total energy = -6.20 eV per atom
Calculated volume = 18.03 Å³ per atom

The structure in CIF format:
```
data_Ca2TiSi3Pt4
_chemical_formula_sum 'Ca2 Ti1 Si3 Pt4'
_cell_length_a 4.124
_cell_length_b 4.124
_cell_length_c 10.600
_cell_angle_alpha 90.00
_cell_angle_beta 90.00
_cell_angle_gamma 90.00
_space_group_name_H-M_alt 'P -4 m 2'
_space_group_IT_number 115
_space_group_name_Hall 'P -4 -2'
loop_
_atom_site_label
_atom_site_fract_x
_atom_site_fract_y
_atom_site_fract_z
Ca1 0.000 0.500 0.243
Ti1 0.000 0.000 0.500
Si1 0.000 0.500 0.869
Si2 0.500 0.500 0.500
Pt1 0.000 0.000 0.000
Pt2 0.000 0.500 0.642
Pt3 0.500 0.500 0.000
```

=====

# YMnAs2

YMnAs2 after structural relaxation (GGA-PBE, the Alexandria database).

Energy of formation = -56.2 kJ per mole of atoms
Calculated volume = 21.42 Å³ per atom

The structure in CIF format:
```
data_YMnAs2
_chemical_formula_sum 'Y2 Mn2 As4'
_cell_length_a 4.056
_cell_length_b 3.808
_cell_length_c 11.095
_cell_angle_alpha 90.00
_cell_angle_beta 90.00
_cell_angle_gamma 90.00
_space_group_name_H-M_alt 'A m m 2'
_space_group_IT_number 38
_space_group_name_Hall 'A 2 -2'
loop_
_atom_site_label
_atom_site_fract_x
_atom_site_fract_y
_atom_site_fract_z
Y1 0.000 0.000 0.000
Mn1 0.500 0.000 0.250
As1 0.000 0.000 0.725
As2 0.500 0.000 0.470
```

=====

# VIrBr

VIrBr after structural relaxation (GGA-PBE, the Alexandria database).

Calculated total energy = -6.44 eV per atom
Calculated volume = 17.32 Å³ per atom

The structure in CIF format:
```
data_VIrBr
_chemical_formula_sum 'V4 Ir4 Br4'
_cell_length_a 13.391
_cell_length_b 2.993
_cell_length_c 5.184
_cell_angle_alpha 90.00
_cell_angle_beta 90.00
_cell_angle_gamma 90.00
_space_group_name_H-M_alt 'A m m 2'
_space_group_IT_number 38
_space_group_name_Hall 'A 2 -2'
loop_
_atom_site_label
_atom_site_fract_x
_atom_site_fract_y
_atom_site_fract_z
V1 0.000 0.000 0.000
V2 0.500 0.000 0.017
Ir1 0.360 0.000 0.683
Br1 0.135 0.000 0.333
```

=====

# AlSi2Au

AlSi2Au after structural relaxation (GGA-PBE, the Alexandria database).

Calculated total energy = -4.26 eV per atom
Calculated volume = 16.05 Å³ per atom

The structure in CIF format:
```
data_AlSi2Au
_chemical_formula_sum 'Al2 Si4 Au2'
_cell_length_a 4.044
_cell_length_b 4.397
_cell_length_c 7.223
_cell_angle_alpha 90.00
_cell_angle_beta 90.00
_cell_angle_gamma 90.00
_space_group_name_H-M_alt 'C m m 2'
_space_group_IT_number 35
_space_group_name_Hall 'C 2 -2'
loop_
_atom_site_label
_atom_site_fract_x
_atom_site_fract_y
_atom_site_fract_z
Al1 0.000 0.000 0.000
Si1 0.000 0.000 0.524
Si2 0.000 0.500 0.742
Au1 0.000 0.500 0.251
```

=====

# NaPr2RhO5

NaPr2RhO5 after structural relaxation (GGA-PBE, the Alexandria database).

Calculated total energy = -6.96 eV per atom
Calculated volume = 15.37 Å³ per atom

The structure in CIF format:
```
data_NaPr2RhO5
_chemical_formula_sum 'Na2 Pr4 Rh2 O10'
_cell_length_a 6.890
_cell_length_b 6.890
_cell_length_c 5.827
_cell_angle_alpha 90.00
_cell_angle_beta 90.00
_cell_angle_gamma 90.00
_space_group_name_H-M_alt 'P 4/m b m'
_space_group_IT_number 127
_space_group_name_Hall '-P 4 2ab'
loop_
_atom_site_label
_atom_site_fract_x
_atom_site_fract_y
_atom_site_fract_z
Na1 0.000 0.000 0.000
Pr1 0.177 0.323 0.500
Rh1 0.000 0.500 0.000
O1 0.000 0.000 0.500
O2 0.134 0.634 0.249
```

=====

# ReAs3F

ReAs3F after structural relaxation (GGA-PBE, the Alexandria database).

Calculated total energy = -5.45 eV per atom
Calculated volume = 22.03 Å³ per atom

The structure in CIF format:
```
data_ReAs3F
_chemical_formula_sum 'Re1 As3 F1'
_cell_length_a 4.794
_cell_length_b 4.794
_cell_length_c 4.794
_cell_angle_alpha 90.00
_cell_angle_beta 90.00
_cell_angle_gamma 90.00
_space_group_name_H-M_alt 'P m -3 m'
_space_group_IT_number 221
_space_group_name_Hall '-P 4 2 3'
loop_
_atom_site_label
_atom_site_fract_x
_atom_site_fract_y
_atom_site_fract_z
Re1 0.000 0.000 0.000
As1 0.000 0.000 0.500
F1 0.500 0.500 0.500
```